# Y2ScAu, relaxed, DFT PBE
# E (eV per formula unit): -23.509
# DFT formation energy (eV/atom): -0.243
# Crystal system: trigonal
# Distance to the lowest polymorph of the same formula (eV/atom): 0.173
data_Y2ScAu
_space_group_name_H-M_alt 'P 1'
_space_group_IT_number 1
_cell_length_a 10.0001
_cell_length_b 10.0001
_cell_length_c 10.0001
_cell_angle_alpha 20.79
_cell_angle_beta 20.79
_cell_angle_gamma 20.79
loop_
_space_group_symop_operation_xyz
'x,y,z'
loop_
_atom_site_label
_atom_site_fract_x
_atom_site_fract_y
_atom_site_fract_z
_atom_site_occupancy
Y1 0.0000 0.0000 0.0000 1
Y2 0.2335 0.2335 0.2335 1
Sc1 0.7617 0.7617 0.7617 1
Au1 0.4920 0.4920 0.4920 1

# YScAu, relaxed, DFT PBE
# E (eV per formula unit): -17.071
# DFT formation energy (eV/atom): -0.333
# Crystal system: trigonal
# Distance to the lowest polymorph of the same formula (eV/atom): 0.319
data_YScAu
_space_group_name_H-M_alt 'P 1'
_space_group_IT_number 1
_cell_length_a 3.6847
_cell_length_b 3.6847
_cell_length_c 6.7132
_cell_angle_alpha 90.00
_cell_angle_beta 90.00
_cell_angle_gamma 120.00
loop_
_space_group_symop_operation_xyz
'x,y,z'
loop_
_atom_site_label
_atom_site_fract_x
_atom_site_fract_y
_atom_site_fract_z
_atom_site_occupancy
Y1 0.0000 0.0000 0.0000 1
Sc1 0.3333 0.6667 0.5792 1
Au1 0.6667 0.3333 0.3137 1

# Y4ScAu, relaxed, DFT PBE
# E (eV per formula unit): -33.390
# DFT formation energy (eV/atom): 0.346
# Crystal system: cubic
data_Y4ScAu
_space_group_name_H-M_alt 'P 1'
_space_group_IT_number 1
_cell_length_a 6.2577
_cell_length_b 6.2577
_cell_length_c 6.2577
_cell_angle_alpha 60.00
_cell_angle_beta 60.00
_cell_angle_gamma 60.00
loop_
_space_group_symop_operation_xyz
'x,y,z'
loop_
_atom_site_label
_atom_site_fract_x
_atom_site_fract_y
_atom_site_fract_z
_atom_site_occupancy
Y1 0.1254 0.1254 0.1254 1
Y2 0.1254 0.1254 0.6239 1
Y3 0.1254 0.6239 0.1254 1
Y4 0.6239 0.1254 0.1254 1
Sc1 0.5000 0.5000 0.5000 1
Au1 0.7500 0.7500 0.7500 1

# YSc2Au4, relaxed, DFT PBE
# E (eV per formula unit): -36.347
# DFT formation energy (eV/atom): -0.587
# Crystal system: tetragonal
data_YSc2Au4
_space_group_name_H-M_alt 'P 1'
_space_group_IT_number 1
_cell_length_a 4.8132
_cell_length_b 4.8132
_cell_length_c 6.7611
_cell_angle_alpha 90.00
_cell_angle_beta 90.00
_cell_angle_gamma 90.00
loop_
_space_group_symop_operation_xyz
'x,y,z'
loop_
_atom_site_label
_atom_site_fract_x
_atom_site_fract_y
_atom_site_fract_z
_atom_site_occupancy
Y1 0.0000 0.0000 0.0000 1
Sc1 0.0000 0.0000 0.5000 1
Sc2 0.5000 0.5000 0.0000 1
Au1 0.0000 0.5000 0.2642 1
Au2 0.0000 0.5000 0.7358 1
Au3 0.5000 0.0000 0.2642 1
Au4 0.5000 0.0000 0.7358 1

# YScAu4, relaxed, DFT PBE
# E (eV per formula unit): -30.837
# DFT formation energy (eV/atom): -0.822
# Crystal system: tetragonal
# Distance to the lowest polymorph of the same formula (eV/atom): 0.000
data_YScAu4
_space_group_name_H-M_alt 'P 1'
_space_group_IT_number 1
_cell_length_a 3.6531
_cell_length_b 3.6531
_cell_length_c 9.0156
_cell_angle_alpha 90.00
_cell_angle_beta 90.00
_cell_angle_gamma 90.00
loop_
_space_group_symop_operation_xyz
'x,y,z'
loop_
_atom_site_label
_atom_site_fract_x
_atom_site_fract_y
_atom_site_fract_z
_atom_site_occupancy
Y1 0.0000 0.0000 0.0000 1
Sc1 0.5000 0.5000 0.5000 1
Au1 0.0000 0.0000 0.3424 1
Au2 0.0000 0.0000 0.6576 1
Au3 0.5000 0.5000 0.1734 1
Au4 0.5000 0.5000 0.8266 1

# Y3ScAu, relaxed, DFT PBE
# E (eV per formula unit): -28.660
# DFT formation energy (eV/atom): 0.068
# Crystal system: cubic
# Distance to the lowest polymorph of the same formula (eV/atom): 0.000
data_Y3ScAu
_space_group_name_H-M_alt 'P 1'
_space_group_IT_number 1
_cell_length_a 5.5372
_cell_length_b 5.5372
_cell_length_c 5.5372
_cell_angle_alpha 90.00
_cell_angle_beta 90.00
_cell_angle_gamma 90.00
loop_
_space_group_symop_operation_xyz
'x,y,z'
loop_
_atom_site_label
_atom_site_fract_x
_atom_site_fract_y
_atom_site_fract_z
_atom_site_occupancy
Y1 0.0000 0.0000 0.5000 1
Y2 0.0000 0.5000 0.0000 1
Y3 0.5000 0.0000 0.0000 1
Sc1 0.5000 0.5000 0.5000 1
Au1 0.0000 0.0000 0.0000 1

# Y2ScAu, relaxed, DFT PBE
# E (eV per formula unit): -23.453
# DFT formation energy (eV/atom): -0.229
# Crystal system: tetragonal
# Distance to the lowest polymorph of the same formula (eV/atom): 0.187
data_Y2ScAu
_space_group_name_H-M_alt 'P 1'
_space_group_IT_number 1
_cell_length_a 5.6594
_cell_length_b 5.6594
_cell_length_c 5.6594
_cell_angle_alpha 131.71
_cell_angle_beta 131.71
_cell_angle_gamma 70.69
loop_
_space_group_symop_operation_xyz
'x,y,z'
loop_
_atom_site_label
_atom_site_fract_x
_atom_site_fract_y
_atom_site_fract_z
_atom_site_occupancy
Y1 0.2500 0.7500 0.5000 1
Y2 0.7500 0.2500 0.5000 1
Sc1 0.0000 0.0000 0.0000 1
Au1 0.5000 0.5000 0.0000 1

# Y4ScAu5, relaxed, DFT PBE
# E (eV per formula unit): -57.017
# DFT formation energy (eV/atom): -0.844
# Crystal system: tetragonal
data_Y4ScAu5
_space_group_name_H-M_alt 'P 1'
_space_group_IT_number 1
_cell_length_a 3.5422
_cell_length_b 3.5422
_cell_length_c 18.0894
_cell_angle_alpha 90.00
_cell_angle_beta 90.00
_cell_angle_gamma 90.00
loop_
_space_group_symop_operation_xyz
'x,y,z'
loop_
_atom_site_label
_atom_site_fract_x
_atom_site_fract_y
_atom_site_fract_z
_atom_site_occupancy
Y1 0.0000 0.0000 0.1021 1
Y2 0.0000 0.0000 0.3062 1
Y3 0.0000 0.0000 0.6938 1
Y4 0.0000 0.0000 0.8979 1
Sc1 0.0000 0.0000 0.5000 1
Au1 0.5000 0.5000 0.0000 1
Au2 0.5000 0.5000 0.2041 1
Au3 0.5000 0.5000 0.4121 1
Au4 0.5000 0.5000 0.5879 1
Au5 0.5000 0.5000 0.7959 1

# YScAu4, relaxed, DFT PBE
# E (eV per formula unit): -28.698
# DFT formation energy (eV/atom): -0.466
# Crystal system: cubic
# Distance to the lowest polymorph of the same formula (eV/atom): 0.356
data_YScAu4
_space_group_name_H-M_alt 'P 1'
_space_group_IT_number 1
_cell_length_a 5.6011
_cell_length_b 5.6011
_cell_length_c 5.6011
_cell_angle_alpha 60.00
_cell_angle_beta 60.00
_cell_angle_gamma 60.00
loop_
_space_group_symop_operation_xyz
'x,y,z'
loop_
_atom_site_label
_atom_site_fract_x
_atom_site_fract_y
_atom_site_fract_z
_atom_site_occupancy
Y1 0.0000 0.0000 0.0000 1
Sc1 0.2500 0.2500 0.2500 1
Au1 0.1258 0.6247 0.6247 1
Au2 0.6247 0.1258 0.6247 1
Au3 0.6247 0.6247 0.1258 1
Au4 0.6247 0.6247 0.6247 1

# YSc2Au2, relaxed, DFT PBE
# E (eV per formula unit): -28.541
# DFT formation energy (eV/atom): -0.572
# Crystal system: tetragonal
# Distance to the lowest polymorph of the same formula (eV/atom): 0.080
data_YSc2Au2
_space_group_name_H-M_alt 'P 1'
_space_group_IT_number 1
_cell_length_a 8.1993
_cell_length_b 8.1993
_cell_length_c 3.2170
_cell_angle_alpha 90.00
_cell_angle_beta 90.00
_cell_angle_gamma 90.00
loop_
_space_group_symop_operation_xyz
'x,y,z'
loop_
_atom_site_label
_atom_site_fract_x
_atom_site_fract_y
_atom_site_fract_z
_atom_site_occupancy
Y1 0.0000 0.0000 0.0000 1
Y2 0.5000 0.5000 0.0000 1
Sc1 0.1400 0.3600 0.0000 1
Sc2 0.3600 0.8600 0.0000 1
Sc3 0.6400 0.1400 0.0000 1
Sc4 0.8600 0.6400 0.0000 1
Au1 0.1573 0.6573 0.5000 1
Au2 0.3427 0.1573 0.5000 1
Au3 0.6573 0.8427 0.5000 1
Au4 0.8427 0.3427 0.5000 1

# Y2ScAu4, relaxed, DFT PBE
# E (eV per formula unit): -37.337
# DFT formation energy (eV/atom): -0.710
# Crystal system: trigonal
data_Y2ScAu4
_space_group_name_H-M_alt 'P 1'
_space_group_IT_number 1
_cell_length_a 8.6434
_cell_length_b 8.6434
_cell_length_c 8.6434
_cell_angle_alpha 32.81
_cell_angle_beta 32.81
_cell_angle_gamma 32.81
loop_
_space_group_symop_operation_xyz
'x,y,z'
loop_
_atom_site_label
_atom_site_fract_x
_atom_site_fract_y
_atom_site_fract_z
_atom_site_occupancy
Y1 0.2422 0.2422 0.2422 1
Y2 0.7578 0.7578 0.7578 1
Sc1 0.0000 0.0000 0.0000 1
Au1 0.1195 0.1195 0.1195 1
Au2 0.3625 0.3625 0.3625 1
Au3 0.6375 0.6375 0.6375 1
Au4 0.8805 0.8805 0.8805 1

# YSc4Au, relaxed, DFT PBE
# E (eV per formula unit): -34.188
# DFT formation energy (eV/atom): 0.147
# Crystal system: cubic
data_YSc4Au
_space_group_name_H-M_alt 'P 1'
_space_group_IT_number 1
_cell_length_a 5.9099
_cell_length_b 5.9099
_cell_length_c 5.9099
_cell_angle_alpha 60.00
_cell_angle_beta 60.00
_cell_angle_gamma 60.00
loop_
_space_group_symop_operation_xyz
'x,y,z'
loop_
_atom_site_label
_atom_site_fract_x
_atom_site_fract_y
_atom_site_fract_z
_atom_site_occupancy
Y1 0.0000 0.0000 0.0000 1
Sc1 0.3745 0.3745 0.3745 1
Sc2 0.3745 0.3745 0.8765 1
Sc3 0.3745 0.8765 0.3745 1
Sc4 0.8765 0.3745 0.3745 1
Au1 0.7500 0.7500 0.7500 1